Record 1
The following is a DFT calculation (PBE-GGA) of a relaxed InTcPO crystal.

- mass density (kg/m³) = 6999
- calculated volume (Å³/cell) = 123.3
- total moment (μB/cell) = 0.9
- polymorph energy (0 for the lowest one) (eV/atom) = 0.0000
- E (Ry per atom) = -0.4750

a = 4.060 Å, b = 4.060 Å, c = 7.479 Å
α = 90.00°, β = 90.00°, γ = 90.00°
Positions (direct):
In  0.500  0.500  0.867
Tc  0.000  0.500  0.500
In  0.000  0.000  0.133
O  0.500  0.000  0.000
P  0.000  0.000  0.664
Tc  0.500  0.000  0.500
P  0.500  0.500  0.336
O  0.000  0.500  0.000



Record 2
The following is a DFT calculation (PBE-GGA) of a relaxed InTcPO crystal.

- mass density (kg/m³) = 5661
- calculated volume (Å³/cell) = 152.4
- total moment (μB/cell) = 0.3
- polymorph energy (0 for the lowest one) (eV/atom) = 0.4917
- E (Ry per atom) = -0.4389

a = 4.177 Å, b = 4.177 Å, c = 8.734 Å
α = 90.00°, β = 90.00°, γ = 90.00°
Positions (direct):
Tc  0.500  0.500  0.043
In  0.500  0.000  0.500
O  0.000  0.500  0.000
P  0.000  0.000  0.711
P  0.500  0.500  0.289
Tc  0.000  0.000  0.957
In  0.000  0.500  0.500
O  0.500  0.000  0.000



Q: Look up the E of the first one.
A: -0.4750 Ry per atom